The following is a GGA-PBE calculation of Er6Mg2Tl after structural relaxation, from Alexandria.

Calculated values
SG: P4_2/mnm (136)
Total energy (eV per atom): -3.7314

extended XYZ file:
```
18
Lattice="-4.901 0.234 -0.827 1.257 -4.846 -8.821 -1.220 -8.897 4.714" Properties=species:S:1:pos:R:3 pbc="T T T"
Er -0.198 -1.545 0.737
Er -4.678 -7.524 -4.343
Er -5.145 -10.517 -2.426
Er -3.057 -6.264 1.366
Er -3.450 -9.539 2.769
Er -2.216 -5.279 -3.330
Er -4.667 -11.964 -5.670
Er -0.187 -5.985 -0.590
Er 0.279 -2.992 -2.508
Er -1.809 -7.246 -6.300
Er -1.415 -3.971 -7.703
Er -2.649 -8.230 -1.603
Mg -0.601 -8.778 1.063
Mg -2.261 -9.927 -4.374
Mg -2.605 -3.583 -0.560
Mg -4.265 -4.731 -5.996
Tl -1.822 -2.306 -4.824
Tl -0.610 -4.449 2.357
```